## KEuPO4 (PBE)

Data for a geometry-optimized KEuPO4 structure.

Geometry as POSCAR:
```
KEuPO4
1.0
7.423 0.000 0.000
0.000 5.620 0.000
0.000 0.000 9.774
K Eu P O
4 4 4 16
Cartesian
1.169 1.405 0.798
2.542 4.215 5.684
4.881 1.405 4.089
6.254 4.215 8.976
0.022 1.405 6.792
3.690 4.215 1.905
3.733 1.405 7.869
7.402 4.215 2.982
1.669 1.405 4.057
2.042 4.215 8.944
5.381 1.405 0.830
5.754 4.215 5.716
0.120 1.405 4.174
1.424 4.215 0.610
1.587 2.934 8.176
1.587 5.496 8.176
2.125 0.124 3.289
2.125 2.686 3.289
2.287 1.405 5.497
3.591 4.215 9.061
3.832 1.405 0.712
5.136 4.215 4.277
5.298 2.934 6.484
5.298 5.496 6.484
5.836 0.124 1.597
5.836 2.686 1.597
5.999 1.405 9.164
7.303 4.215 5.599
```

Summary:
Symmetry ... No. 62
Formation energy without anion corrections ... -18.27 eV/f.u.